No. 1
A relaxed BaTl3In crystal. Source: the Alexandria database, functional GGA-PBE.

Lattice parameters (Å, degrees): 6.4625 6.4625 6.4625 90.00 90.00 90.00
Last column: nearest neighbours and their distance in Å.
Space group Pm-3m (No. 221)
Unique sites:
Ba1 0.0000 0.0000 0.0000 x1  6 Tl 3.23
Tl1 0.0000 0.0000 0.5000 x3  2 Ba 3.23
In1 0.5000 0.5000 0.5000 x1  12 Tl 4.57

Values from the calculation:
D(E_F) in states/eV/f.u.: 6.998
ΔE_f in eV per atom: 0.62
Relative energy among the computed polymorphs in meV per atom: 871



No. 2
A relaxed ZnNiRuRh crystal. Source: the Alexandria database, functional GGA-PBE.

Lattice parameters (Å, degrees): 6.0314 6.0314 6.0314 90.00 90.00 90.00
Last column: nearest neighbours and their distance in Å.
Space group F-43m (No. 216)
Unique sites:
Zn1 0.0000 0.0000 0.0000 x4  4 Ni 2.61, 4 Rh 2.61
Ni1 0.2500 0.2500 0.2500 x4  4 Ru 2.61, 4 Zn 2.61
Ru1 0.0000 0.0000 0.5000 x4  4 Ni 2.61, 4 Rh 2.61
Rh1 0.2500 0.2500 0.7500 x4  4 Ru 2.61, 4 Zn 2.61

Values from the calculation:
D(E_F) in states/eV/f.u.: 7.231
ΔE_f in eV per atom: 0.13



No. 3
A relaxed TbInSn2 crystal. Source: the Alexandria database, functional GGA-PBE.

Lattice parameters (Å, degrees): 5.0990 5.0990 14.7010 90.00 90.00 120.00
Last column: nearest neighbours and their distance in Å.
Space group R-3m (No. 166, hexagonal axes)
Unique sites:
Tb1 0.0000 0.0000 0.0000 x3  8 Sn 3.29-3.43
In1 0.0000 0.0000 0.5000 x3  6 Sn 3.10
Sn1 0.0000 0.0000 0.2334 x6  3 In 3.10, 4 Tb 3.29-3.43

Values from the calculation:
D(E_F) in states/eV/f.u.: 3.630
ΔE_f in eV per atom: -0.18
Relative energy among the computed polymorphs in meV per atom: 259



No. 4
A relaxed LiSmEuGe crystal. Source: the Alexandria database, functional GGA-PBE.

Lattice parameters (Å, degrees): 7.3822 7.3822 7.3822 90.00 90.00 90.00
Last column: nearest neighbours and their distance in Å.
Space group F-43m (No. 216)
Unique sites:
Li1 0.0000 0.0000 0.0000 x4  4 Sm 3.20, 4 Eu 3.20
Sm1 0.2500 0.2500 0.7500 x4  4 Ge 3.20, 4 Li 3.20
Eu1 0.2500 0.2500 0.2500 x4  4 Li 3.20, 4 Ge 3.20
Ge1 0.0000 0.0000 0.5000 x4  4 Eu 3.20, 4 Sm 3.20

Values from the calculation:
D(E_F) in states/eV/f.u.: 8.194
ΔE_f in eV per atom: -0.38



No. 5
A relaxed TbPmPd2 crystal. Source: the Alexandria database, functional GGA-PBE.

Lattice parameters (Å, degrees): 5.0952 5.0952 3.4787 90.00 90.00 90.00
Last column: nearest neighbours and their distance in Å.
Space group P4/mmm (No. 123)
Unique sites:
Tb1 0.0000 0.0000 0.0000 x1  8 Pd 3.08
Pm1 0.5000 0.5000 0.0000 x1  8 Pd 3.08
Pd1 0.0000 0.5000 0.5000 x2  4 Tb 3.08, 4 Pm 3.08

Values from the calculation:
D(E_F) in states/eV/f.u.: 2.264
ΔE_f in eV per atom: -0.81
Relative energy among the computed polymorphs in meV per atom: 53



No. 6
A relaxed Na2AgTeS crystal. Source: the Alexandria database, functional GGA-PBE.

Lattice parameters (Å, degrees): 5.7293 5.7293 5.0377 90.00 90.00 90.00
Last column: nearest neighbours and their distance in Å.
Space group P4/mmm (No. 123)
Unique sites:
Na1 0.0000 0.5000 0.0000 x2  2 Ag 2.86
Ag1 0.0000 0.0000 0.0000 x1  2 Te 2.52
Te1 0.0000 0.0000 0.5000 x1  2 Ag 2.52
S1 0.5000 0.5000 0.5000 x1  8 Na 3.81, 4 Te 4.05

Values from the calculation:
Energy relative to the elements, uncorrected in eV per atom: 0.06
D(E_F) in states/eV/f.u.: 2.555
Relative energy among the computed polymorphs in meV per atom: 527



No. 7
A relaxed LaGaPIr crystal. Source: the Alexandria database, functional GGA-PBE.

Lattice parameters (Å, degrees): 4.2635 4.2635 9.4534 90.00 90.00 90.00
Last column: nearest neighbours and their distance in Å.
Space group P4/nmm (No. 129, origin choice 2)
Unique sites:
La1 0.2500 0.2500 0.1870 x2  5 P 2.94-3.07
Ga1 0.2500 0.2500 0.6307 x2  1 P 2.32, 4 Ir 2.46
P1 0.2500 0.2500 0.8756 x2  1 Ga 2.32
Ir1 0.2500 0.7500 0.5000 x2  4 Ga 2.46

Values from the calculation:
D(E_F) in states/eV/f.u.: 1.009
ΔE_f in eV per atom: -0.88



No. 8
A relaxed Li2Tb2HoTl2 crystal. Source: the Alexandria database, functional GGA-PBE.

Lattice parameters (Å, degrees): 4.8129 4.8129 26.8907 90.00 90.00 120.00
Last column: nearest neighbours and their distance in Å.
Space group R-3m (No. 166, hexagonal axes)
Unique sites:
Li1 0.0000 0.0000 0.1051 x6  3 Tl 2.79
Tb1 0.0000 0.0000 0.3734 x6  3 Tl 3.17, 3 Li 3.28, 1 Ho 3.40, 3 Tb 3.52
Ho1 0.0000 0.0000 0.5000 x3  6 Li 3.23, 6 Tl 3.36, 2 Tb 3.40
Tl1 0.0000 0.0000 0.2369 x6  3 Li 2.79

Values from the calculation:
D(E_F) in states/eV/f.u.: 4.881
ΔE_f in eV per atom: -0.17